No. 1
Compound: KLi4HgBi2
Source: Alexandria via LeMat-Bulk
Functional: GGA-PBE
Structure: relaxed

Summary:
The value obtained for the energy of formation from the pure elements is -404 meV/atom.

Lattice parameters (Å, degrees): 4.887 4.887 10.128 76.04 76.04 60.00
Element x y z (fractional)
Li (0.409, 0.409, 0.772)
Li (0.133, 0.133, 0.600)
Li (0.867, 0.867, 0.400)
Li (0.591, 0.591, 0.228)
Bi (0.245, 0.245, 0.265)
Bi (0.755, 0.755, 0.735)
K (0.000, 0.000, 0.000)
Hg (0.500, 0.500, 0.500)

No. 2
Compound: K2LiHgBi2
Source: Alexandria via LeMat-Bulk
Functional: GGA-PBE
Structure: relaxed

Summary:
The value obtained for the energy of formation from the pure elements is -330 meV/atom.

Lattice parameters (Å, degrees): 6.871 7.015 9.772 111.03 110.58 90.00
Element x y z (fractional)
K (0.432, 0.169, 0.337)
K (0.568, 0.831, 0.663)
K (0.905, 0.669, 0.337)
K (0.095, 0.331, 0.663)
Bi (0.865, 0.104, 0.208)
Bi (0.343, 0.604, 0.208)
Bi (0.135, 0.896, 0.792)
Bi (0.657, 0.396, 0.792)
Hg (0.500, 0.250, 0.000)
Hg (0.500, 0.750, 0.000)
Li (0.000, 0.750, 0.000)
Li (0.000, 0.250, 0.000)